No. 1
Below is an optimized crystal structure of Li2TmInBr6, with properties calculated at the GGA-PBE level.

abc: 7.865 7.865 7.865
angles: 54.88 54.88 54.88
Positions (direct):
Li (0.000, 0.000, 0.000)
Li (0.490, 0.490, 0.490)
Tm (0.806, 0.806, 0.806)
In (0.288, 0.288, 0.288)
Br (0.068, 0.401, 0.743)
Br (0.219, 0.824, 0.645)
Br (0.401, 0.743, 0.068)
Br (0.645, 0.219, 0.824)
Br (0.743, 0.068, 0.401)
Br (0.824, 0.645, 0.219)

Calculated values
uncorrected formation energy = -14.6 eV per formula unit

No. 2
Below is an optimized crystal structure of CeSmTm2As4, with properties calculated at the GGA-PBE level.

abc: 7.155 4.142 7.174
angles: 90.00 109.45 90.00
Positions (direct):
Ce (0.000, 0.000, 0.000)
Sm (0.000, 0.500, 0.500)
Tm (0.500, 0.000, 0.500)
Tm (0.500, 0.500, 0.000)
As (0.258, 0.000, 0.754)
As (0.258, 0.500, 0.252)
As (0.742, 0.000, 0.246)
As (0.742, 0.500, 0.748)

Calculated values
energy of formation from the pure elements = -11.91 eV per formula unit

No. 3
Below is an optimized crystal structure of ScBe2Ag, with properties calculated at the GGA-PBE level.

abc: 3.963 3.963 4.988
angles: 113.60 113.60 60.09
Positions (direct):
Sc (0.000, 0.000, 0.000)
Be (0.212, 0.212, 0.637)
Be (0.542, 0.542, 0.628)
Ag (0.792, 0.792, 0.377)

Calculated values
energy of formation from the pure elements = 0.20 eV per formula unit
relative energy among the computed polymorphs = 5.3 kJ/mol of atoms

No. 4
Below is an optimized crystal structure of SmThPtRh, with properties calculated at the GGA-PBE level.

abc: 5.050 5.050 5.050
angles: 60.00 60.00 60.00
Positions (direct):
Sm (0.000, 0.000, 0.000)
Th (0.500, 0.500, 0.500)
Pt (0.750, 0.750, 0.750)
Rh (0.250, 0.250, 0.250)

Calculated values
energy of formation from the pure elements = -3.54 eV per formula unit
relative energy among the computed polymorphs = 17.7 kJ/mol of atoms

No. 5
Below is an optimized crystal structure of UAlTl2S5, with properties calculated at the GGA-PBE level.

abc: 9.301 9.301 14.103
angles: 90.00 90.00 155.48
Positions (direct):
U (0.206, 0.794, 0.500)
U (0.794, 0.206, 0.000)
Al (0.435, 0.565, 0.895)
Al (0.565, 0.435, 0.395)
Tl (0.106, 0.894, 0.145)
Tl (0.121, 0.879, 0.801)
Tl (0.879, 0.121, 0.301)
Tl (0.894, 0.106, 0.645)
S (0.054, 0.946, 0.488)
S (0.293, 0.707, 0.121)
S (0.309, 0.691, 0.870)
S (0.340, 0.660, 0.479)
S (0.496, 0.504, 0.764)
S (0.504, 0.496, 0.264)
S (0.660, 0.340, 0.979)
S (0.691, 0.309, 0.370)
S (0.707, 0.293, 0.621)
S (0.946, 0.054, 0.988)

Calculated values
uncorrected formation energy = -8.1 eV per formula unit

No. 6
Below is an optimized crystal structure of CaAl2Zn, with properties calculated at the GGA-PBE level.

abc: 4.926 4.926 5.718
angles: 104.43 104.43 40.21
Positions (direct):
Ca (0.000, 0.000, 0.000)
Al (0.227, 0.227, 0.680)
Al (0.773, 0.773, 0.320)
Zn (0.500, 0.500, 0.500)

Calculated values
energy of formation from the pure elements = -0.05 eV per formula unit

No. 7
Below is an optimized crystal structure of NbAs2OsSe, with properties calculated at the GGA-PBE level.

abc: 4.642 4.642 5.314
angles: 90.00 90.00 90.00
Positions (direct):
Nb (0.000, 0.000, 0.000)
As (0.000, 0.500, 0.500)
As (0.500, 0.000, 0.500)
Os (0.500, 0.500, 0.500)
Se (0.500, 0.500, 0.000)

Calculated values
relative energy among the computed polymorphs = 0.0 kJ/mol of atoms
uncorrected formation energy = 4.6 eV per formula unit

No. 8
Below is an optimized crystal structure of TcSb3Os, with properties calculated at the GGA-PBE level.

abc: 5.117 5.117 5.117
angles: 90.00 90.00 90.00
Positions (direct):
Tc (0.000, 0.000, 0.000)
Sb (0.000, 0.500, 0.500)
Sb (0.500, 0.000, 0.500)
Sb (0.500, 0.500, 0.000)
Os (0.500, 0.500, 0.500)

Calculated values
relative energy among the computed polymorphs = 0.0 kJ/mol of atoms
uncorrected formation energy = 6.5 eV per formula unit

No. 9
Below is an optimized crystal structure of BaAg6Sn2, with properties calculated at the GGA-PBE level.

abc: 4.876 4.876 8.928
angles: 90.00 90.00 90.00
Positions (direct):
Ba (0.000, 0.000, 0.000)
Ag (0.000, 0.000, 0.500)
Ag (0.000, 0.500, 0.324)
Ag (0.000, 0.500, 0.676)
Ag (0.500, 0.000, 0.324)
Ag (0.500, 0.000, 0.676)
Ag (0.500, 0.500, 0.500)
Sn (0.500, 0.500, 0.165)
Sn (0.500, 0.500, 0.835)

Calculated values
energy of formation from the pure elements = -1.60 eV per formula unit

No. 10
Below is an optimized crystal structure of LiZnP2, with properties calculated at the GGA-PBE level.

abc: 2.790 2.790 7.591
angles: 90.00 90.00 90.00
Positions (direct):
Li (0.000, 0.000, 0.000)
Zn (0.000, 0.000, 0.500)
P (0.500, 0.500, 0.247)
P (0.500, 0.500, 0.753)

Calculated values
energy of formation from the pure elements = 0.29 eV per formula unit

No. 11
Below is an optimized crystal structure of Ac2NpAgS6, with properties calculated at the GGA-PBE level.

abc: 7.219 7.219 7.208
angles: 119.79 119.79 57.18
Positions (direct):
Ac (0.245, 0.245, 0.273)
Ac (0.755, 0.755, 0.727)
Np (0.000, 0.000, 0.500)
Ag (0.500, 0.500, 0.000)
S (0.182, 0.677, 0.675)
S (0.235, 0.235, 0.853)
S (0.323, 0.818, 0.325)
S (0.677, 0.182, 0.675)
S (0.765, 0.765, 0.147)
S (0.818, 0.323, 0.325)

Calculated values
uncorrected formation energy = -14.2 eV per formula unit

No. 12
Below is an optimized crystal structure of Ce3C2Cl2, with properties calculated at the GGA-PBE level.

abc: 6.398 6.398 7.363
angles: 99.88 99.88 32.83
Positions (direct):
Ce (0.000, 0.000, 0.000)
Ce (0.223, 0.223, 0.789)
Ce (0.777, 0.777, 0.211)
C (0.361, 0.361, 0.053)
C (0.639, 0.639, 0.947)
Cl (0.125, 0.125, 0.373)
Cl (0.875, 0.875, 0.627)

Calculated values
uncorrected formation energy = -6.5 eV per formula unit

Result set for calculated total energy: -3.57, -6.26, -4.11, -7.27, -5.39, -2.70, -5.90, -5.48, -3.18, -3.43, -6.30, -6.64 eV per atom, one per record in the order listed.